No. 1
PBE ReP3Se, optimized geometry; raw formation energy = 0.580 eV per atom; energy = -5.852 eV/atom; SG = Pm-3m (221); offset from the most stable computed form = 0.00 eV per formula unit
1.0
4.6248 0.0000 0.0000
0.0000 4.6248 0.0000
0.0000 0.0000 4.6248
Re P Se
1 3 1
Direct
0.0000 0.0000 0.0000
0.0000 0.0000 0.5000
0.0000 0.5000 0.0000
0.5000 0.0000 0.0000
0.5000 0.5000 0.5000

***

No. 2
PBE Re2PSe2, optimized geometry; raw formation energy = 1.066 eV per atom; energy = -6.389 eV/atom; SG = P4/mbm (127); offset from the most stable computed form = 1.30 eV per formula unit
1.0
7.5112 0.0000 0.0000
0.0000 7.5112 0.0000
0.0000 0.0000 2.9278
Re P Se
4 2 4
Direct
0.1629 0.3371 0.0000
0.3371 0.8371 0.0000
0.6629 0.1629 0.0000
0.8371 0.6629 0.0000
0.0000 0.0000 0.5000
0.5000 0.5000 0.5000
0.1375 0.6375 0.5000
0.3625 0.1375 0.5000
0.6375 0.8625 0.5000
0.8625 0.3625 0.5000

***

No. 3
PBE RePSe2, optimized geometry; raw formation energy = -0.029 eV per atom; energy = -6.236 eV/atom; SG = Cm (8)
1.0
4.1267 -1.5834 0.0000
4.1267 1.5834 0.0000
-1.4546 0.0000 6.9452
Re P Se
1 1 2
Direct
0.0000 0.0000 0.0000
0.2783 0.2783 0.9498
0.3913 0.3913 0.6836
0.5745 0.5745 0.2755

***

No. 4
PBE RePSe2, optimized geometry; raw formation energy = 0.702 eV per atom; energy = -5.505 eV/atom; SG = I-42d (122)
1.0
-3.1299 3.1299 4.6371
3.1299 -3.1299 4.6371
3.1299 3.1299 -4.6371
Re P Se
2 2 4
Direct
0.0000 0.0000 0.0000
0.7500 0.2500 0.5000
0.2500 0.7500 0.5000
0.5000 0.5000 0.0000
0.0973 0.6250 0.9723
0.3750 0.3473 0.4723
0.6527 0.1250 0.0277
0.8750 0.9027 0.5277